The following is a DFT calculation (PBE) of an optimized crystal structure of TaCd6O8.

Cell: 9.481 9.481 9.481 Å, 90.00 90.00 90.00°
Space group Fm-3m (No. 225)
Unique sites:
Ta 0.000 0.000 0.000 (multiplicity 4)
Cd 0.000 0.250 0.250 (multiplicity 24)
O 0.000 0.000 0.214 (multiplicity 24)
O 0.250 0.250 0.250 (multiplicity 8)

## Properties
volume	852.29	Å³ per cell
energy	-309.79	eV/cell

The following is a DFT calculation (PBE) of an optimized crystal structure of Ta2CdO6.

Cell: 5.2852 5.2852 4.7335 Å, 90.00 90.00 120.00°
Space group P-31m (No. 162)
Unique sites:
Ta 0.3333 0.6667 0.0000 (multiplicity 2)
Cd 0.0000 0.0000 0.5000 (multiplicity 1)
O 0.0000 0.3666 0.7730 (multiplicity 6)

## Properties
volume	114.51	Å³ per cell
energy	-76.49	eV/cell

The following is a DFT calculation (PBE) of an optimized crystal structure of Ta2Cd2O5.

Cell: 3.968 3.968 8.031 Å, 90.00 90.00 90.00°
Space group P4/mmm (No. 123)
Unique sites:
Ta 0.000 0.000 0.249 (multiplicity 2)
Cd 0.500 0.500 0.000 (multiplicity 1)
Cd 0.500 0.500 0.500 (multiplicity 1)
O 0.000 0.000 0.000 (multiplicity 1)
O 0.000 0.500 0.250 (multiplicity 4)

## Properties
volume	126.41	Å³ per cell
energy	-64.93	eV/cell
energy above the lowest structure with this stoichiometry	0	meV per atom

The following is a DFT calculation (PBE) of an optimized crystal structure of Ta2Cd2O5.

Cell: 3.398 3.398 10.217 Å, 90.00 90.00 90.00°
Space group P4/mmm (No. 123)
Unique sites:
Ta 0.000 0.000 0.000 (multiplicity 1)
Ta 0.000 0.000 0.500 (multiplicity 1)
Cd 0.500 0.500 0.236 (multiplicity 2)
O 0.000 0.500 0.383 (multiplicity 4)
O 0.500 0.500 0.000 (multiplicity 1)

## Properties
volume	117.97	Å³ per cell
energy	-59.95	eV/cell
energy above the lowest structure with this stoichiometry	553	meV per atom

The following is a DFT calculation (PBE) of an optimized crystal structure of Ta2Cd2O7.

Cell: 10.405 10.405 10.405 Å, 90.00 90.00 90.00°
Space group Fd-3m (No. 227, origin choice 2)
Unique sites:
Ta 0.000 0.000 0.000 (multiplicity 16)
Cd 0.000 0.000 0.500 (multiplicity 16)
O 0.069 0.375 0.375 (multiplicity 48)
O 0.125 0.125 0.625 (multiplicity 8)

## Properties
volume	1126.42	Å³ per cell
energy	-679.07	eV/cell

The following is a DFT calculation (PBE) of an optimized crystal structure of Tb2Cd2O5.

Cell: 4.106 4.106 8.629 Å, 90.00 90.00 90.00°
Space group P4/mmm (No. 123)
Unique sites:
Tb 0.000 0.000 0.245 (multiplicity 2)
Cd 0.500 0.500 0.000 (multiplicity 1)
Cd 0.500 0.500 0.500 (multiplicity 1)
O 0.000 0.000 0.500 (multiplicity 1)
O 0.000 0.500 0.162 (multiplicity 4)

## Properties
volume	145.51	Å³ per cell
energy	-53.27	eV/cell
energy above the lowest structure with this stoichiometry	0	meV per atom

The following is a DFT calculation (PBE) of an optimized crystal structure of Tb2Cd2O5.

Cell: 4.203 4.203 7.219 Å, 90.00 90.00 90.00°
Space group P4/mmm (No. 123)
Unique sites:
Tb 0.000 0.000 0.000 (multiplicity 1)
Tb 0.000 0.000 0.500 (multiplicity 1)
Cd 0.500 0.500 0.204 (multiplicity 2)
O 0.000 0.500 0.197 (multiplicity 4)
O 0.500 0.500 0.500 (multiplicity 1)

## Properties
volume	127.53	Å³ per cell
energy	-50.87	eV/cell
energy above the lowest structure with this stoichiometry	266	meV per atom

The following is a DFT calculation (PBE) of an optimized crystal structure of TbTlCdO3.

Cell: 3.529 13.621 8.779 Å, 90.00 90.00 90.00°
Space group Cmcm (No. 63)
Unique sites:
Tb 0.000 0.000 0.000 (multiplicity 4)
Tl 0.000 0.337 0.250 (multiplicity 4)
Cd 0.000 0.335 0.750 (multiplicity 4)
O 0.000 0.048 0.750 (multiplicity 4)
O 0.000 0.395 0.530 (multiplicity 8)

## Properties
volume	421.98	Å³ per cell
energy	-135.04	eV/cell

The following is a DFT calculation (PBE) of an optimized crystal structure of Cd2Tc2O7.

Cell: 10.218 10.218 10.218 Å, 90.00 90.00 90.00°
Space group Fd-3m (No. 227, origin choice 2)
Unique sites:
Cd 0.000 0.000 0.000 (multiplicity 16)
Tc 0.000 0.000 0.500 (multiplicity 16)
O 0.070 0.375 0.875 (multiplicity 48)
O 0.125 0.125 0.125 (multiplicity 8)

## Properties
volume	1066.75	Å³ per cell
energy	-567.36	eV/cell
energy above the lowest structure with this stoichiometry	18	meV per atom

The following is a DFT calculation (PBE) of an optimized crystal structure of Cd2Tc2O7.

Cell: 6.469 9.725 5.349 Å, 90.00 99.65 90.00°
Space group C2/m (No. 12)
Unique sites:
Cd 0.000 0.189 0.000 (multiplicity 4)
Tc 0.246 0.000 0.607 (multiplicity 4)
O 0.000 0.500 0.500 (multiplicity 2)
O 0.069 0.000 0.287 (multiplicity 4)
O 0.225 0.340 0.211 (multiplicity 8)

## Properties
volume	331.72	Å³ per cell
energy	-142.23	eV/cell
energy above the lowest structure with this stoichiometry	0	meV per atom

The following is a DFT calculation (PBE) of an optimized crystal structure of CdTc2O4.

Cell: 8.919 8.919 8.919 Å, 90.00 90.00 90.00°
Space group Fd-3m (No. 227, origin choice 2)
Unique sites:
Cd 0.125 0.125 0.125 (multiplicity 8)
Tc 0.000 0.000 0.500 (multiplicity 16)
O 0.015 0.015 0.735 (multiplicity 32)

## Properties
volume	709.49	Å³ per cell
energy	-384.12	eV/cell

The following is a DFT calculation (PBE) of an optimized crystal structure of CdTc2O8.

Cell: 6.0756 6.0756 5.4820 Å, 90.00 90.00 120.00°
Space group P-3m1 (No. 164)
Unique sites:
Cd 0.0000 0.0000 0.0000 (multiplicity 1)
Tc 0.3333 0.6667 0.3280 (multiplicity 2)
O 0.1762 0.3525 0.2290 (multiplicity 6)
O 0.3333 0.6667 0.6405 (multiplicity 2)

## Properties
volume	175.25	Å³ per cell
energy	-75.81	eV/cell